Density functional theory data (PBE) for a geometry-optimized Cr3CdPb structure.

Its energy is -26.50 eV per cell. As for the polymorph energy (0 for the lowest one): 17 meV per atom. As for the formation energy: 1.399 eV per atom. The space group is Pm-3m.

Lattice parameters (Å, degrees): 5.289 5.289 5.289 90.00 90.00 90.00
Last column: magnetic moment on the atom in μB.
Element x y z (fractional)
Cr 0.000 0.000 0.500  4.08
Cr 0.000 0.500 0.000  3.97
Cr 0.500 0.000 0.000  3.83
Pb 0.000 0.000 0.000  -0.13
Cd 0.500 0.500 0.500  -0.01